The following is a DFT calculation (GGA-PBE) of a relaxed Th4Co2Sn crystal.

extended XYZ file:
```
14
Lattice="-4.6905 4.6905 4.2382 4.6905 -4.6905 4.2382 4.6905 4.6905 -4.2382" Properties=species:S:1:pos:R:3 pbc="T T T"
Th 2.9964 -0.5684 0.7700
Th 6.3846 0.5684 0.7700
Th 4.1221 2.9964 -1.3492
Th 5.2589 -1.6941 3.4683
Th 0.5684 1.6941 2.8891
Th 4.1221 1.6941 3.4683
Th 1.6941 -0.5684 5.5874
Th 2.9964 5.2589 1.3492
Co 2.3452 -0.8945 3.1787
Co 3.7960 2.3452 1.0596
Co 2.3452 5.5849 -1.0596
Co 0.8945 2.3452 5.2978
Sn 0.0000 0.0000 0.0000
Sn 0.0000 4.6905 2.1191
```

Computed properties:
The crystal system is tetragonal. The magnetic moment is 0.00 μB/cell. The calculated volume comes out at 26.641 A^3/atom. The symmetry is I-42d, No. 122. As for the total energy: -7.0967 eV/atom. As for the formation energy: -0.255 eV per atom.

=====

The following is a DFT calculation (GGA-PBE) of a relaxed Li2NiAu crystal.

extended XYZ file:
```
8
Lattice="5.3613 0.0000 0.0000 0.0000 7.4190 0.0000 0.0000 0.0000 2.7599" Properties=species:S:1:pos:R:3 pbc="T T T"
Li 1.3403 1.8548 0.0000
Li 1.3403 5.5643 0.0000
Li 4.0210 1.8548 0.0000
Li 4.0210 5.5643 0.0000
Ni 0.0000 0.0000 1.3799
Ni 2.6806 3.7095 1.3799
Au 0.0000 3.7095 1.3799
Au 2.6806 0.0000 1.3799
```

Computed properties:
The crystal system is orthorhombic. The magnetic moment is 0.00 μB/cell. The calculated volume comes out at 13.722 A^3/atom. The symmetry is Cmmm, No. 65. As for the total energy: -3.4162 eV/atom. As for the formation energy: -0.195 eV per atom.

=====

The following is a DFT calculation (GGA-PBE) of a relaxed DyBe3Si3 crystal.

extended XYZ file:
```
14
Lattice="6.1166 0.0000 0.0000 0.0000 6.1166 0.0000 0.0000 0.0000 6.1166" Properties=species:S:1:pos:R:3 pbc="T T T"
Dy 0.0000 0.0000 0.0000
Dy 3.0583 3.0583 3.0583
Be 0.0000 1.5292 3.0583
Be 0.0000 4.5875 3.0583
Be 1.5292 3.0583 0.0000
Be 3.0583 0.0000 1.5292
Be 3.0583 0.0000 4.5875
Be 4.5875 3.0583 0.0000
Si 0.0000 3.0583 1.5292
Si 0.0000 3.0583 4.5875
Si 1.5292 0.0000 3.0583
Si 3.0583 1.5292 0.0000
Si 3.0583 4.5875 0.0000
Si 4.5875 0.0000 3.0583
```

Computed properties:
The crystal system is cubic. The magnetic moment is 0.00 μB/cell. The value obtained for the uncorrected formation energy is 0.2306 eV per atom. The calculated volume comes out at 16.346 A^3/atom. The symmetry is Pm-3n, No. 223. As for the total energy: -4.3480 eV/atom.

=====

The following is a DFT calculation (GGA-PBE) of a relaxed MnCdHgTeBr crystal.

extended XYZ file:
```
10
Lattice="12.8881 0.0000 0.0000 0.0000 4.2778 0.0000 -2.6487 0.0000 5.3577" Properties=species:S:1:pos:R:3 pbc="T T T"
Mn 0.0000 0.0000 0.0000
Mn 6.4441 2.1389 0.0000
Cd 2.3155 0.0000 1.7264
Cd 8.7596 2.1389 1.7264
Hg 0.2165 2.1389 1.9379
Hg 6.6605 0.0000 1.9379
Te 4.3130 0.0000 3.7581
Te 10.7571 2.1389 3.7581
Br 3.9535 2.1389 0.1797
Br 10.3976 0.0000 0.1797
```

Computed properties:
The crystal system is monoclinic. The magnetic moment is 8.81 μB/cell. The value obtained for the energy above the most stable polymorph in this dataset is 0 kJ/mol of formula units. The value obtained for the uncorrected formation energy is -0.2211 eV per atom. The calculated volume comes out at 29.539 A^3/atom. The symmetry is Cm, No. 8. As for the total energy: -3.2613 eV/atom.

=====

The following is a DFT calculation (GGA-PBE) of a relaxed CaAc3Nd8 crystal.

extended XYZ file:
```
12
Lattice="-3.3514 5.9399 6.0822 3.3514 -5.9399 6.0822 3.3514 5.9399 -6.0822" Properties=species:S:1:pos:R:3 pbc="T T T"
Ca 0.0000 0.0000 0.0000
Ac 3.3514 3.0142 0.0000
Ac 0.0000 5.9399 0.0000
Ac 0.0000 2.9257 6.0822
Nd 3.3514 -2.9758 3.9108
Nd 1.7170 0.0000 2.9775
Nd 4.9858 0.0000 2.9775
Nd 0.0000 2.9641 2.1714
Nd 3.3514 2.9758 3.9108
Nd -1.6344 5.9399 3.1047
Nd 1.6344 5.9399 3.1047
Nd 0.0000 8.9157 2.1714
```

Computed properties:
The crystal system is orthorhombic. The magnetic moment is 0.00 μB/cell. The calculated volume comes out at 40.359 A^3/atom. The symmetry is Immm, No. 71. As for the total energy: -4.1337 eV/atom. As for the formation energy: 0.239 eV per atom.

=====

The following is a DFT calculation (GGA-PBE) of a relaxed Sm2Ga3Cu4 crystal.

extended XYZ file:
```
18
Lattice="2.8407 -7.5971 0.0000 2.8407 7.5971 0.0000 0.0000 0.0000 7.3571" Properties=species:S:1:pos:R:3 pbc="T T T"
Sm 2.8407 5.9669 6.6547
Sm 2.8407 1.6302 2.9761
Sm 2.8407 -1.6302 4.3810
Sm 2.8407 -5.9669 0.7025
Ga 0.0000 0.0000 3.6786
Ga 1.4204 3.5385 5.5178
Ga 1.4204 -3.5385 1.8393
Ga 2.8407 0.0000 0.0000
Ga 4.2611 3.5385 5.5178
Ga 4.2611 -3.5385 1.8393
Cu 2.8407 4.9794 3.7257
Cu 1.4204 1.0147 5.5178
Cu 1.4204 -1.0147 1.8393
Cu 2.8407 2.6177 0.0472
Cu 2.8407 -2.6177 7.3099
Cu 4.2611 1.0147 5.5178
Cu 4.2611 -1.0147 1.8393
Cu 2.8407 -4.9794 3.6314
```

Computed properties:
The crystal system is orthorhombic. The magnetic moment is 0.00 μB/cell. The calculated volume comes out at 17.642 A^3/atom. The symmetry is Cmce, No. 64. As for the total energy: -4.2057 eV/atom. As for the formation energy: -0.328 eV per atom.